(1)
VASP calculation (GGA-PBE) on crystalline Ac3Al3Pt8 at its relaxed geometry.

Cell lengths 4.380, 8.549, 9.075 Å; angles 63.24, 76.03, 75.16 degrees
Fractional positions:
Al  0.682  0.638  0.998
Al  0.318  0.362  0.002
Al  0.000  0.500  0.500
Ac  0.000  0.000  0.000
Ac  0.296  0.756  0.652
Ac  0.704  0.244  0.348
Pt  0.896  0.832  0.376
Pt  0.104  0.168  0.624
Pt  0.865  0.435  0.835
Pt  0.513  0.656  0.317
Pt  0.135  0.565  0.165
Pt  0.487  0.344  0.683
Pt  0.641  0.949  0.770
Pt  0.359  0.051  0.230

Output
Crystal system: monoclinic
Energy of formation in eV/atom: -1.085
VASP energy in eV/atom: -6.219


(2)
VASP calculation (GGA-PBE) on crystalline AcAlPt3 at its relaxed geometry.

Cell lengths 6.295, 6.295, 12.281 Å; angles 90.00, 90.00, 120.00 degrees
Fractional positions:
Ac  0.667  0.333  0.750
Ac  0.000  0.000  0.000
Ac  0.000  0.000  0.500
Ac  0.333  0.667  0.250
Pt  0.716  0.858  0.750
Pt  0.500  0.000  0.000
Pt  0.500  0.500  0.000
Pt  0.142  0.284  0.750
Pt  0.858  0.142  0.250
Pt  0.500  0.000  0.500
Pt  0.858  0.716  0.250
Pt  0.142  0.858  0.750
Pt  0.000  0.500  0.500
Pt  0.000  0.500  0.000
Pt  0.500  0.500  0.500
Pt  0.284  0.142  0.250
Al  0.667  0.333  0.359
Al  0.333  0.667  0.859
Al  0.667  0.333  0.141
Al  0.333  0.667  0.641

Output
Crystal system: hexagonal
Energy of formation in eV/atom: -0.937
VASP energy in eV/atom: -6.132


(3)
VASP calculation (GGA-PBE) on crystalline AcAl11Pt at its relaxed geometry.

Cell lengths 5.260, 7.490, 6.911 Å; angles 82.52, 67.63, 69.99 degrees
Fractional positions:
Al  0.726  0.765  0.776
Al  0.274  0.235  0.224
Al  0.000  0.360  0.646
Al  0.502  0.765  0.224
Al  0.354  0.640  0.646
Al  0.000  0.500  0.000
Al  0.500  0.000  0.500
Al  0.000  0.000  0.500
Al  0.498  0.235  0.776
Al  0.000  0.640  0.354
Al  0.646  0.360  0.354
Ac  0.000  0.000  0.000
Pt  0.500  0.500  0.000

Output
Crystal system: monoclinic
Energy of formation in eV/atom: -0.287
VASP energy in eV/atom: -4.235


(4)
VASP calculation (GGA-PBE) on crystalline Ac3Al2Pt4 at its relaxed geometry.

Cell lengths 4.375, 6.439, 9.064 Å; angles 113.24, 90.00, 109.86 degrees
Fractional positions:
Pt  0.901  0.802  0.587
Pt  0.296  0.592  0.916
Pt  0.704  0.408  0.084
Pt  0.099  0.198  0.413
Ac  0.372  0.744  0.297
Ac  0.628  0.256  0.703
Ac  0.000  0.000  0.000
Al  0.678  0.356  0.352
Al  0.322  0.644  0.648

Output
Crystal system: monoclinic
Energy of formation in eV/atom: -1.082
VASP energy in eV/atom: -5.968


(5)
VASP calculation (GGA-PBE) on crystalline AcPuAlPt2 at its relaxed geometry.

Cell lengths 4.421, 4.421, 6.843 Å; angles 108.84, 108.84, 90.00 degrees
Fractional positions:
Pt  0.388  0.388  0.777
Pt  0.612  0.612  0.223
Pu  0.750  0.250  0.500
Al  0.250  0.750  0.500
Ac  0.000  0.000  0.000

Output
Crystal system: tetragonal
Energy of formation in eV/atom: -0.864
VASP energy in eV/atom: -7.717


(6)
VASP calculation (GGA-PBE) on crystalline Ac2ScAlPt6 at its relaxed geometry.

Cell lengths 7.058, 6.748, 7.063 Å; angles 77.59, 47.09, 96.83 degrees
Fractional positions:
Pt  0.761  0.251  0.000
Pt  0.749  0.748  0.490
Pt  0.248  0.393  0.855
Pt  0.752  0.607  0.145
Pt  0.251  0.252  0.510
Pt  0.239  0.749  0.000
Ac  0.254  0.802  0.453
Ac  0.746  0.198  0.547
Al  0.000  0.000  0.000
Sc  0.500  0.500  0.000

Output
Crystal system: monoclinic
Energy of formation in eV/atom: -0.980
VASP energy in eV/atom: -6.434


(7)
VASP calculation (GGA-PBE) on crystalline Ac2ScAl12Pt3 at its relaxed geometry.

Cell lengths 10.597, 10.597, 10.597 Å; angles 37.27, 37.27, 37.27 degrees
Fractional positions:
Al  0.643  0.063  0.063
Al  0.937  0.937  0.357
Al  0.812  0.407  0.407
Al  0.407  0.812  0.407
Al  0.937  0.357  0.937
Al  0.357  0.937  0.937
Al  0.063  0.063  0.643
Al  0.593  0.188  0.593
Al  0.407  0.407  0.812
Al  0.188  0.593  0.593
Al  0.063  0.643  0.063
Al  0.593  0.593  0.188
Pt  0.000  0.000  0.500
Pt  0.000  0.500  0.000
Pt  0.500  0.000  0.000
Ac  0.354  0.354  0.354
Ac  0.646  0.646  0.646
Sc  0.000  0.000  0.000

Output
Crystal system: trigonal
Energy of formation in eV/atom: -0.322
VASP energy in eV/atom: -4.633


(8)
VASP calculation (GGA-PBE) on crystalline AcScAlPt2 at its relaxed geometry.

Cell lengths 4.274, 4.274, 6.785 Å; angles 108.36, 108.36, 90.00 degrees
Fractional positions:
Al  0.750  0.250  0.500
Pt  0.383  0.383  0.765
Pt  0.617  0.617  0.235
Sc  0.250  0.750  0.500
Ac  0.000  0.000  0.000

Output
Crystal system: tetragonal
Energy of formation in eV/atom: -1.108
VASP energy in eV/atom: -6.360